(1)
Density functional theory data (PBE) for SmZn2B2O6 after structural relaxation.

Output
Spin magnetization: 0.3 μB/f.u.
Formation energy without anion corrections: -2153 meV/atom

abc: 5.0428 5.0428 7.2190
angles: 90.00 90.00 120.00
Space group P-3 (No. 147)
Unique sites:
Sm1 0.0000 0.0000 0.0000 (multiplicity 1)
Zn1 0.3333 0.6667 0.3112 (multiplicity 2)
B1 0.3333 0.6667 0.7929 (multiplicity 2)
O1 0.0561 0.6618 0.7986 (multiplicity 6)

(2)
Density functional theory data (PBE) for Sn2BO after structural relaxation.

Output
Spin magnetization: 0.0 μB/f.u.
Distance to the lowest polymorph of the same formula: 0 meV/atom
Formation energy without anion corrections: -142 meV/atom

abc: 5.146 5.146 11.002
angles: 90.00 90.00 90.00
Space group I-42d (No. 122)
Unique sites:
Sn1 0.244 0.250 0.125 (multiplicity 8)
B1 0.000 0.000 0.000 (multiplicity 4)
O1 0.000 0.000 0.500 (multiplicity 4)

(3)
Density functional theory data (PBE) for SnBO2 after structural relaxation.

Output
Spin magnetization: 0.0 μB/f.u.
Formation energy without anion corrections: -1368 meV/atom

abc: 3.2026 3.2026 19.9561
angles: 90.00 90.00 120.00
Space group R-3m (No. 166, hexagonal axes)
Unique sites:
Sn1 0.0000 0.0000 0.0000 (multiplicity 3)
B1 0.0000 0.0000 0.5000 (multiplicity 3)
O1 0.0000 0.0000 0.4366 (multiplicity 6)

(4)
Density functional theory data (PBE) for SnBO2 after structural relaxation.

Output
Spin magnetization: 0.0 μB/f.u.
Formation energy without anion corrections: 442 meV/atom

abc: 5.633 5.633 5.633
angles: 90.00 90.00 90.00
Space group Fm-3m (No. 225)
Unique sites:
Sn1 0.000 0.000 0.000 (multiplicity 4)
B1 0.000 0.000 0.500 (multiplicity 4)
O1 0.250 0.250 0.250 (multiplicity 8)

(5)
Density functional theory data (PBE) for SnBO3 after structural relaxation.

Output
Spin magnetization: 0.0 μB/f.u.
Formation energy without anion corrections: -1866 meV/atom

abc: 5.284 8.975 12.879
angles: 90.00 97.52 90.00
Space group Cc (No. 9)
Unique sites:
Sn1 0.000 0.025 0.000 (multiplicity 4)
Sn2 0.350 0.124 0.756 (multiplicity 4)
B1 0.008 0.360 0.000 (multiplicity 4)
B2 0.407 0.457 0.750 (multiplicity 4)
O1 0.016 0.006 0.663 (multiplicity 4)
O2 0.024 0.038 0.838 (multiplicity 4)
O3 0.122 0.494 0.979 (multiplicity 4)
O4 0.148 0.230 0.009 (multiplicity 4)
O5 0.234 0.347 0.753 (multiplicity 4)
O6 0.254 0.143 0.515 (multiplicity 4)

(6)
Density functional theory data (PBE) for Sn2BO after structural relaxation.

Output
Spin magnetization: 0.0 μB/f.u.
Distance to the lowest polymorph of the same formula: 619 meV/atom
Formation energy without anion corrections: 477 meV/atom

abc: 6.216 6.216 6.216
angles: 90.00 90.00 90.00
Space group Fm-3m (No. 225)
Unique sites:
Sn1 0.250 0.250 0.250 (multiplicity 8)
B1 0.000 0.000 0.000 (multiplicity 4)
O1 0.000 0.000 0.500 (multiplicity 4)